1.
Compound: SbPb5Au6
Source: the Alexandria database
Functional: PBE
Structure: relaxed

Cell: 6.469 13.933 7.483 Å, 90.00 115.00 90.00°
Space group C2/m (No. 12)
Inequivalent atoms, fractional coordinates:
Sb1 0.000 0.000 0.000
Pb1 0.000 0.000 0.500
Pb2 0.000 0.307 0.500
Pb3 0.000 0.358 0.000
Au1 0.009 0.166 0.217
Au2 0.030 0.500 0.705

E ... -3.582 eV/atom
Total magnetic moment ... 0.00 Bohr magnetons per cell
Calculated volume ... 611.3 Å³/cell

---

2.
Compound: LaNiAgH6
Source: the Alexandria database
Functional: PBE
Structure: relaxed

Cell: 4.6675 4.6675 4.5235 Å, 90.00 90.00 120.00°
Space group P-6m2 (No. 187)
Inequivalent atoms, fractional coordinates:
La1 0.0000 0.0000 0.0000
Ni1 0.6667 0.3333 0.5000
Ag1 0.3333 0.6667 0.5000
H1 0.5215 0.0429 0.2456

E ... -3.953 eV/atom
Total magnetic moment ... 0.00 Bohr magnetons per cell
Calculated volume ... 85.3 Å³/cell

---

3.
Compound: Os2AuSe
Source: the Alexandria database
Functional: PBE
Structure: relaxed

Cell: 6.381 6.381 6.381 Å, 90.00 90.00 90.00°
Space group F-43m (No. 216)
Inequivalent atoms, fractional coordinates:
Os1 0.000 0.000 0.000
Os2 0.250 0.250 0.250
Au1 0.250 0.250 0.750
Se1 0.000 0.000 0.500

E ... -6.277 eV/atom
Total magnetic moment ... 0.00 Bohr magnetons per cell
Calculated volume ... 259.8 Å³/cell

---

4.
Compound: K2SrRh3F12
Source: the Alexandria database
Functional: PBE
Structure: relaxed

Cell: 7.6556 7.6556 17.3937 Å, 90.00 90.00 120.00°
Space group R-3m (No. 166, hexagonal axes)
Inequivalent atoms, fractional coordinates:
K1 0.0000 0.0000 0.1214
Sr1 0.0000 0.0000 0.5000
Rh1 0.0000 0.5000 0.0000
F1 0.0287 0.5143 0.8846
F2 0.0674 0.5337 0.3101

E ... -4.862 eV/atom
Total magnetic moment ... 3.09 Bohr magnetons per cell
Calculated volume ... 882.8 Å³/cell

---

The highest total magnetic moment belongs to which entry?
K2SrRh3F12